Entry 1:
## Pm4BCl5 (GGA-PBE)

Data for Pm4BCl5 after structural relaxation.

The calculation puts the total energy at -51.59 eV per formula unit. The calculation puts the volume at 27.69 Å³ per atom.

The structure belongs to space group C2/m (No. 12); the cell edges are 17.8127, 3.9533 and 8.1181 Å and the angles 90.00°, 104.32° and 90.00°. The distinct sites, in fractional coordinates, are Pm at (0.0010, 0.0000, 0.2791), Pm at (0.1486, 0.5000, 0.5876), B at (0.0000, 0.5000, 0.5000), Cl at (0.0000, 0.5000, 0.0000), Cl at (0.1643, 0.0000, 0.8379) and Cl at (0.1702, 0.0000, 0.3488).



Entry 2:
## Pr4BCl5 (GGA-PBE)

Data for Pr4BCl5 after structural relaxation.

The calculation puts the total energy at -51.52 eV per formula unit. The calculation puts the volume at 29.05 Å³ per atom.

The structure belongs to space group C2/m (No. 12); the cell edges are 18.1153, 4.0274 and 8.2276 Å and the angles 90.00°, 104.57° and 90.00°. The distinct sites, in fractional coordinates, are Pr at (0.0014, 0.0000, 0.2778), Pr at (0.1495, 0.5000, 0.5909), B at (0.0000, 0.5000, 0.5000), Cl at (0.0000, 0.5000, 0.0000), Cl at (0.1639, 0.0000, 0.8413) and Cl at (0.1699, 0.0000, 0.3501).



Entry 3:
## PrBCl6 (GGA-PBE)

Data for PrBCl6 after structural relaxation.

The calculation puts the total energy at -29.15 eV per formula unit. The calculation puts the volume at 28.73 Å³ per atom.

The structure belongs to space group P-6 (No. 174); the cell edges are 9.0550, 9.0550 and 3.2371 Å and the angles 90.00°, 90.00° and 120.00°. The distinct sites, in fractional coordinates, are Pr at (0.0000, 0.0000, 0.0000), B at (0.6667, 0.3333, 0.5000), Cl at (0.0904, 0.2738, 0.5000) and Cl at (0.4944, 0.3525, 0.0000).



Entry 4:
## Pr2Sm2BCl5 (GGA-PBE)

Data for Pr2Sm2BCl5 after structural relaxation.

The calculation puts the total energy at -51.47 eV per formula unit. The calculation puts the volume at 28.48 Å³ per atom.

The structure belongs to space group C2/m (No. 12); the cell edges are 17.8277, 3.9795 and 8.2677 Å and the angles 90.00°, 103.84° and 90.00°. The distinct sites, in fractional coordinates, are Pr at (0.0016, 0.0000, 0.2778), Sm at (0.1481, 0.5000, 0.5847), B at (0.0000, 0.5000, 0.5000), Cl at (0.0000, 0.5000, 0.0000), Cl at (0.1663, 0.0000, 0.8284) and Cl at (0.1728, 0.0000, 0.3549).